# 1
Here is a relaxed SiAsRh3 crystal from Alexandria. Energies are from PBE.

Summary:
- Total magnetic moment: 0.000 μB per atom
- DOS(E_F): 3.6 states/eV per cell
- Formation energy without anion corrections: 293 meV per atom
- Volume: 86.82 Å³/cell
- Symmetry: Pm-3m (221)
- E above lowest polymorph: 0 meV per atom

a b c (Å): 4.428 4.428 4.428
angles (deg): 90.00 90.00 90.00
Sites, in units of the cell vectors:
Si (0.000, 0.000, 0.000)
As (0.500, 0.500, 0.500)
Rh (0.000, 0.000, 0.500)
Rh (0.000, 0.500, 0.000)
Rh (0.500, 0.000, 0.000)

# 2
Here is a relaxed SiAs2Rh crystal from Alexandria. Energies are from PBE.

Summary:
- Total magnetic moment: 0.000 μB per atom
- DOS(E_F): 4.9 states/eV per cell
- Formation energy without anion corrections: -63 meV per atom
- Volume: 171.10 Å³/cell
- Symmetry: I-42d (122)

a b c (Å): 6.769 6.769 6.769
angles (deg): 131.34 131.34 71.27
Sites, in units of the cell vectors:
Si (0.000, 0.000, 0.000)
Si (0.750, 0.250, 0.500)
As (0.129, 0.625, 0.004)
As (0.375, 0.379, 0.504)
As (0.621, 0.125, 0.996)
As (0.875, 0.871, 0.496)
Rh (0.250, 0.750, 0.500)
Rh (0.500, 0.500, 0.000)

# 3
Here is a relaxed Si3AsRh crystal from Alexandria. Energies are from PBE.

Summary:
- Total magnetic moment: 0.000 μB per atom
- DOS(E_F): 0.7 states/eV per cell
- Formation energy without anion corrections: 357 meV per atom
- Volume: 97.89 Å³/cell
- Symmetry: Pm-3m (221)
- E above lowest polymorph: 0 meV per atom

a b c (Å): 4.609 4.609 4.609
angles (deg): 90.00 90.00 90.00
Sites, in units of the cell vectors:
Si (0.000, 0.000, 0.500)
Si (0.000, 0.500, 0.000)
Si (0.500, 0.000, 0.000)
As (0.500, 0.500, 0.500)
Rh (0.000, 0.000, 0.000)

# 4
Here is a relaxed SiAs2Rh crystal from Alexandria. Energies are from PBE.

Summary:
- Total magnetic moment: 0.000 μB per atom
- DOS(E_F): 1.3 states/eV per cell
- Formation energy without anion corrections: -58 meV per atom
- Volume: 69.14 Å³/cell
- Symmetry: P4mm (99)

a b c (Å): 3.116 3.116 7.121
angles (deg): 90.00 90.00 90.00
Sites, in units of the cell vectors:
Si (0.000, 0.000, 0.000)
As (0.000, 0.000, 0.598)
As (0.500, 0.500, 0.209)
Rh (0.500, 0.500, 0.824)

# 5
Here is a relaxed SiAs2Rh crystal from Alexandria. Energies are from PBE.

Summary:
- Total magnetic moment: 0.000 μB per atom
- DOS(E_F): 3.3 states/eV per cell
- Formation energy without anion corrections: 196 meV per atom
- Volume: 64.84 Å³/cell
- Symmetry: Fm-3m (225)

a b c (Å): 4.509 4.509 4.509
angles (deg): 60.00 60.00 60.00
Sites, in units of the cell vectors:
Si (0.000, 0.000, 0.000)
As (0.250, 0.250, 0.250)
As (0.750, 0.750, 0.750)
Rh (0.500, 0.500, 0.500)

# 6
Here is a relaxed SiAsRh4 crystal from Alexandria. Energies are from PBE.

Summary:
- Total magnetic moment: 0.000 μB per atom
- DOS(E_F): 9.2 states/eV per cell
- Formation energy without anion corrections: 359 meV per atom
- Volume: 95.75 Å³/cell
- Symmetry: F-43m (216)

a b c (Å): 5.135 5.135 5.135
angles (deg): 60.00 60.00 60.00
Sites, in units of the cell vectors:
Si (0.000, 0.000, 0.000)
As (0.250, 0.250, 0.250)
Rh (0.125, 0.625, 0.625)
Rh (0.625, 0.125, 0.625)
Rh (0.625, 0.625, 0.125)
Rh (0.625, 0.625, 0.625)

# 7
Here is a relaxed Si2As2Rh crystal from Alexandria. Energies are from PBE.

Summary:
- Total magnetic moment: 0.000 μB per atom
- DOS(E_F): 2.8 states/eV per cell
- Formation energy without anion corrections: 277 meV per atom
- Volume: 86.30 Å³/cell
- Symmetry: I4/mmm (139)
- E above lowest polymorph: 152 meV per atom

a b c (Å): 5.002 5.002 5.002
angles (deg): 121.57 121.57 87.30
Sites, in units of the cell vectors:
Si (0.160, 0.160, 0.000)
Si (0.840, 0.840, 0.000)
As (0.250, 0.750, 0.500)
As (0.750, 0.250, 0.500)
Rh (0.500, 0.500, 0.000)

# 8
Here is a relaxed Sm3SiAs2Rh9 crystal from Alexandria. Energies are from PBE.

Summary:
- Total magnetic moment: 0.000 μB per atom
- DOS(E_F): 3.5 states/eV per cell
- Formation energy without anion corrections: -504 meV per atom
- Volume: 293.68 Å³/cell
- Symmetry: P-3m1 (164)

a b c (Å): 6.359 6.359 8.387
angles (deg): 90.00 90.00 120.00
Sites, in units of the cell vectors:
Sm (0.000, 0.000, 0.000)
Sm (0.333, 0.667, 0.692)
Sm (0.667, 0.333, 0.308)
Si (0.000, 0.000, 0.500)
As (0.333, 0.667, 0.183)
As (0.667, 0.333, 0.817)
Rh (0.000, 0.500, 0.000)
Rh (0.143, 0.285, 0.292)
Rh (0.143, 0.857, 0.292)
Rh (0.285, 0.143, 0.708)
Rh (0.500, 0.000, 0.000)
Rh (0.500, 0.500, 0.000)
Rh (0.715, 0.857, 0.292)
Rh (0.857, 0.143, 0.708)
Rh (0.857, 0.715, 0.708)

# 9
Here is a relaxed Tb2SiAsRh6 crystal from Alexandria. Energies are from PBE.

Summary:
- Total magnetic moment: 0.000 μB per atom
- DOS(E_F): 5.3 states/eV per cell
- Formation energy without anion corrections: -673 meV per atom
- Volume: 173.19 Å³/cell
- Symmetry: C2/m (12)

a b c (Å): 6.249 6.249 7.564
angles (deg): 126.73 126.73 51.66
Sites, in units of the cell vectors:
Tb (0.004, 0.004, 0.252)
Tb (0.996, 0.996, 0.748)
Si (0.500, 0.500, 0.000)
As (0.500, 0.500, 0.500)
Rh (0.006, 0.503, 0.705)
Rh (0.324, 0.324, 0.071)
Rh (0.497, 0.994, 0.295)
Rh (0.503, 0.006, 0.705)
Rh (0.676, 0.676, 0.929)
Rh (0.994, 0.497, 0.295)

# 10
Here is a relaxed Th3Si2AsRh9 crystal from Alexandria. Energies are from PBE.

Summary:
- Total magnetic moment: 0.000 μB per atom
- DOS(E_F): 8.3 states/eV per cell
- Formation energy without anion corrections: -718 meV per atom
- Volume: 289.18 Å³/cell
- Symmetry: P-3m1 (164)

a b c (Å): 5.781 5.781 9.990
angles (deg): 90.00 90.00 120.00
Sites, in units of the cell vectors:
Th (0.000, 0.000, 0.000)
Th (0.333, 0.667, 0.709)
Th (0.667, 0.333, 0.291)
Si (0.333, 0.667, 0.165)
Si (0.667, 0.333, 0.835)
As (0.000, 0.000, 0.500)
Rh (0.000, 0.500, 0.000)
Rh (0.165, 0.329, 0.325)
Rh (0.165, 0.835, 0.325)
Rh (0.329, 0.165, 0.675)
Rh (0.500, 0.000, 0.000)
Rh (0.500, 0.500, 0.000)
Rh (0.671, 0.835, 0.325)
Rh (0.835, 0.165, 0.675)
Rh (0.835, 0.671, 0.675)

# 11
Here is a relaxed Th2SiAsRh6 crystal from Alexandria. Energies are from PBE.

Summary:
- Total magnetic moment: 0.000 μB per atom
- DOS(E_F): 12.1 states/eV per cell
- Formation energy without anion corrections: -792 meV per atom
- Volume: 376.56 Å³/cell
- Symmetry: Pmmn (59)

a b c (Å): 5.571 8.593 7.866
angles (deg): 90.00 90.00 90.00
Sites, in units of the cell vectors:
Th (0.250, 0.007, 0.230)
Th (0.250, 0.493, 0.230)
Th (0.750, 0.507, 0.770)
Th (0.750, 0.993, 0.770)
Si (0.250, 0.750, 0.752)
Si (0.750, 0.250, 0.248)
As (0.250, 0.250, 0.758)
As (0.750, 0.750, 0.242)
Rh (0.001, 0.250, 0.494)
Rh (0.005, 0.750, 0.995)
Rh (0.250, 0.501, 0.607)
Rh (0.250, 0.999, 0.607)
Rh (0.495, 0.750, 0.995)
Rh (0.499, 0.250, 0.494)
Rh (0.501, 0.750, 0.506)
Rh (0.505, 0.250, 0.005)
Rh (0.750, 0.001, 0.393)
Rh (0.750, 0.499, 0.393)
Rh (0.995, 0.250, 0.005)
Rh (0.999, 0.750, 0.506)

# 12
Here is a relaxed Tm3SiAs2Rh9 crystal from Alexandria. Energies are from PBE.

Summary:
- Total magnetic moment: 0.000 μB per atom
- DOS(E_F): 2.5 states/eV per cell
- Formation energy without anion corrections: -498 meV per atom
- Volume: 289.68 Å³/cell
- Symmetry: P-3m1 (164)

a b c (Å): 6.331 6.331 8.346
angles (deg): 90.00 90.00 120.00
Sites, in units of the cell vectors:
Tm (0.000, 0.000, 0.000)
Tm (0.333, 0.667, 0.719)
Tm (0.667, 0.333, 0.281)
Si (0.000, 0.000, 0.500)
As (0.333, 0.667, 0.186)
As (0.667, 0.333, 0.814)
Rh (0.000, 0.500, 0.000)
Rh (0.141, 0.282, 0.287)
Rh (0.141, 0.859, 0.287)
Rh (0.282, 0.141, 0.713)
Rh (0.500, 0.000, 0.000)
Rh (0.500, 0.500, 0.000)
Rh (0.718, 0.859, 0.287)
Rh (0.859, 0.141, 0.713)
Rh (0.859, 0.718, 0.713)

# 13
Here is a relaxed Tm2Si2AsRh5 crystal from Alexandria. Energies are from PBE.

Summary:
- Total magnetic moment: 0.000 μB per atom
- DOS(E_F): 15.0 states/eV per cell
- Formation energy without anion corrections: -909 meV per atom
- Volume: 325.15 Å³/cell
- Symmetry: P4/mbm (127)

a b c (Å): 9.682 9.682 3.468
angles (deg): 90.00 90.00 90.00
Sites, in units of the cell vectors:
Tm (0.175, 0.325, 0.000)
Tm (0.325, 0.825, 0.000)
Tm (0.675, 0.175, 0.000)
Tm (0.825, 0.675, 0.000)
Si (0.124, 0.624, 0.000)
Si (0.376, 0.124, 0.000)
Si (0.624, 0.876, 0.000)
Si (0.876, 0.376, 0.000)
As (0.000, 0.000, 0.000)
As (0.500, 0.500, 0.000)
Rh (0.000, 0.500, 0.500)
Rh (0.069, 0.788, 0.500)
Rh (0.212, 0.069, 0.500)
Rh (0.288, 0.569, 0.500)
Rh (0.431, 0.288, 0.500)
Rh (0.500, 0.000, 0.500)
Rh (0.569, 0.712, 0.500)
Rh (0.712, 0.431, 0.500)
Rh (0.788, 0.931, 0.500)
Rh (0.931, 0.212, 0.500)

# 14
Here is a relaxed SmAs2Rh3 crystal from Alexandria. Energies are from PBE.

Summary:
- Total magnetic moment: 0.000 μB per atom
- Formation enthalpy at 0 K: -0.8654 eV/atom
- DOS(E_F): 8.5 states/eV per cell
- Volume: 312.04 Å³/cell
- Symmetry: C2/m (12)

a b c (Å): 8.460 8.460 9.931
angles (deg): 107.13 107.13 27.43
Sites, in units of the cell vectors:
Sm (0.000, 0.000, 0.000)
Sm (0.156, 0.156, 0.696)
Sm (0.844, 0.844, 0.304)
As (0.196, 0.196, 0.129)
As (0.362, 0.362, 0.546)
As (0.460, 0.460, 0.220)
As (0.540, 0.540, 0.780)
As (0.638, 0.638, 0.454)
As (0.804, 0.804, 0.871)
Rh (0.042, 0.042, 0.328)
Rh (0.219, 0.219, 0.393)
Rh (0.321, 0.321, 0.041)
Rh (0.377, 0.377, 0.796)
Rh (0.500, 0.500, 0.500)
Rh (0.623, 0.623, 0.204)
Rh (0.679, 0.679, 0.959)
Rh (0.781, 0.781, 0.607)
Rh (0.958, 0.958, 0.672)

# 15
Here is a relaxed Sm2AsRh crystal from Alexandria. Energies are from PBE.

Summary:
- Total magnetic moment: 0.000 μB per atom
- Formation enthalpy at 0 K: -0.3034 eV/atom
- DOS(E_F): 3.5 states/eV per cell
- Volume: 116.66 Å³/cell
- Symmetry: R-3m (166)

a b c (Å): 8.917 8.917 8.917
angles (deg): 25.61 25.61 25.61
Sites, in units of the cell vectors:
Sm (0.099, 0.099, 0.099)
Sm (0.901, 0.901, 0.901)
As (0.500, 0.500, 0.500)
Rh (0.000, 0.000, 0.000)

# 16
Here is a relaxed Sm2As4Rh5 crystal from Alexandria. Energies are from PBE.

Summary:
- Total magnetic moment: 0.000 μB per atom
- Formation enthalpy at 0 K: -0.7298 eV/atom
- DOS(E_F): 6.2 states/eV per cell
- Volume: 203.82 Å³/cell
- Symmetry: Fmmm (69)

a b c (Å): 8.941 7.974 5.639
angles (deg): 80.11 61.47 38.41
Sites, in units of the cell vectors:
Sm (0.131, 0.131, 0.869)
Sm (0.869, 0.869, 0.131)
As (0.214, 0.528, 0.472)
As (0.472, 0.786, 0.214)
As (0.528, 0.214, 0.786)
As (0.786, 0.472, 0.528)
Rh (0.000, 0.000, 0.500)
Rh (0.250, 0.250, 0.250)
Rh (0.500, 0.500, 0.000)
Rh (0.500, 0.500, 0.500)
Rh (0.750, 0.750, 0.750)

# 17
Here is a relaxed SmAs2Rh4 crystal from Alexandria. Energies are from PBE.

Summary:
- Total magnetic moment: 0.000 μB per atom
- Formation enthalpy at 0 K: -0.7157 eV/atom
- DOS(E_F): 11.7 states/eV per cell
- Volume: 234.44 Å³/cell
- Symmetry: P4_2/mnm (136)

a b c (Å): 7.772 7.772 3.881
angles (deg): 90.00 90.00 90.00
Sites, in units of the cell vectors:
Sm (0.000, 0.000, 0.000)
Sm (0.500, 0.500, 0.500)
As (0.227, 0.227, 0.500)
As (0.273, 0.727, 0.000)
As (0.727, 0.273, 0.000)
As (0.773, 0.773, 0.500)
Rh (0.077, 0.667, 0.500)
Rh (0.167, 0.423, 0.000)
Rh (0.333, 0.923, 0.500)
Rh (0.423, 0.167, 0.000)
Rh (0.577, 0.833, 0.000)
Rh (0.667, 0.077, 0.500)
Rh (0.833, 0.577, 0.000)
Rh (0.923, 0.333, 0.500)

# 18
Here is a relaxed Sm4AsRh2 crystal from Alexandria. Energies are from PBE.

Summary:
- Total magnetic moment: 0.000 μB per atom
- Formation enthalpy at 0 K: -0.8057 eV/atom
- DOS(E_F): 9.5 states/eV per cell
- Volume: 358.08 Å³/cell
- Symmetry: Cc (9)

a b c (Å): 7.743 7.743 7.314
angles (deg): 107.85 107.85 107.37
Sites, in units of the cell vectors:
Sm (0.003, 0.997, 0.500)
Sm (0.039, 0.530, 0.766)
Sm (0.416, 0.543, 0.204)
Sm (0.451, 0.854, 0.680)
Sm (0.530, 0.039, 0.266)
Sm (0.543, 0.416, 0.704)
Sm (0.854, 0.451, 0.180)
Sm (0.997, 0.003, 0.000)
As (0.166, 0.373, 0.420)
As (0.373, 0.166, 0.920)
Rh (0.157, 0.788, 0.218)
Rh (0.680, 0.766, 0.066)
Rh (0.766, 0.680, 0.566)
Rh (0.788, 0.157, 0.718)

# 19
Here is a relaxed Sm2As7Rh12 crystal from Alexandria. Energies are from PBE.

Summary:
- Total magnetic moment: 0.000 μB per atom
- Formation enthalpy at 0 K: -0.7063 eV/atom
- DOS(E_F): 16.2 states/eV per cell
- Volume: 341.45 Å³/cell
- Symmetry: P-3 (147)

a b c (Å): 9.986 9.986 3.954
angles (deg): 90.00 90.00 120.00
Sites, in units of the cell vectors:
Sm (0.333, 0.667, 0.249)
Sm (0.667, 0.333, 0.751)
As (0.000, 0.000, 0.500)
As (0.117, 0.712, 0.751)
As (0.288, 0.404, 0.751)
As (0.404, 0.117, 0.249)
As (0.596, 0.883, 0.751)
As (0.712, 0.596, 0.249)
As (0.883, 0.288, 0.249)
Rh (0.064, 0.446, 0.750)
Rh (0.115, 0.263, 0.247)
Rh (0.148, 0.885, 0.247)
Rh (0.263, 0.148, 0.753)
Rh (0.381, 0.936, 0.750)
Rh (0.446, 0.381, 0.250)
Rh (0.554, 0.619, 0.750)
Rh (0.619, 0.064, 0.250)
Rh (0.737, 0.852, 0.247)
Rh (0.852, 0.115, 0.753)
Rh (0.885, 0.737, 0.753)
Rh (0.936, 0.554, 0.250)

# 20
Here is a relaxed SmAsRh crystal from Alexandria. Energies are from PBE.

Summary:
- Total magnetic moment: 0.000 μB per atom
- Formation enthalpy at 0 K: -0.9067 eV/atom
- DOS(E_F): 4.5 states/eV per cell
- Volume: 133.21 Å³/cell
- Symmetry: C2/m (12)

a b c (Å): 5.500 5.500 6.391
angles (deg): 102.70 102.70 45.19
Sites, in units of the cell vectors:
Sm (0.113, 0.113, 0.266)
Sm (0.887, 0.887, 0.734)
As (0.177, 0.177, 0.747)
As (0.823, 0.823, 0.253)
Rh (0.367, 0.367, 0.075)
Rh (0.633, 0.633, 0.925)